Density functional theory data (PBE-GGA) for NaLaMg2Cu after structural relaxation.

Cell: 5.131 5.887 5.131 Å, 90.00 90.00 90.00°
Fractional coordinates of all 5 atoms:
Mg  0.000  0.000  0.500
Mg  0.500  0.000  0.000
Na  0.000  0.000  0.000
Cu  0.500  0.500  0.500
La  0.000  0.500  0.000

Results
DFT formation energy	0.88	eV/atom
DOS(E_F)	3.7	states/eV/cell
relative energy among the computed polymorphs	804.8	meV/atom
energy	-1.8310	eV per atom
V	155.0	Å³/cell